No. 1
Crystalline SrLiY2Pd at its relaxed geometry, computed with PBE-GGA.

The value obtained for the density of states at the Fermi level is 4.45 states/eV/f.u. The total magnetization comes out at 0.0 μB per cell. The final energy comes out at -22.2 eV for the cell shown. The crystal system is tetragonal. As for the space group: P4/mmm, No. 123. The value obtained for the offset from the most stable computed form is 52 meV per atom.

```
SrLiY2Pd
1.0
5.466 0.000 0.000
0.000 5.466 0.000
0.000 0.000 6.018
Sr Li Y Pd
1 1 2 1
direct
0.000 0.000 0.000 Sr
0.500 0.500 0.000 Li
0.000 0.500 0.500 Y
0.500 0.000 0.500 Y
0.000 0.000 0.500 Pd
```

No. 2
Crystalline Sr2LiYPd at its relaxed geometry, computed with PBE-GGA.

The value obtained for the density of states at the Fermi level is 4.66 states/eV/f.u. The total magnetization comes out at 1.3 μB per cell. The final energy comes out at -14.5 eV for the cell shown. The crystal system is tetragonal. As for the space group: P4/mmm, No. 123. The value obtained for the offset from the most stable computed form is 632 meV per atom.

```
Sr2LiYPd
1.0
6.609 0.000 0.000
0.000 6.609 0.000
0.000 0.000 4.991
Sr Li Y Pd
2 1 1 1
direct
0.000 0.500 0.000 Sr
0.500 0.000 0.000 Sr
0.000 0.000 0.500 Li
0.500 0.500 0.000 Y
0.500 0.500 0.500 Pd
```

No. 3
Crystalline Sr2LiYPd at its relaxed geometry, computed with PBE-GGA.

The value obtained for the density of states at the Fermi level is 3.65 states/eV/f.u. The total magnetization comes out at 0.0 μB per cell. The final energy comes out at -17.7 eV for the cell shown. The crystal system is tetragonal. As for the space group: P4/mmm, No. 123. The value obtained for the offset from the most stable computed form is 0 meV per atom.

```
Sr2LiYPd
1.0
6.010 0.000 0.000
0.000 6.010 0.000
0.000 0.000 5.444
Sr Li Y Pd
2 1 1 1
direct
0.000 0.500 0.000 Sr
0.500 0.000 0.000 Sr
0.000 0.000 0.500 Li
0.500 0.500 0.500 Y
0.500 0.500 0.000 Pd
```

No. 4
Crystalline SrLiY2Pd at its relaxed geometry, computed with PBE-GGA.

The value obtained for the density of states at the Fermi level is 2.88 states/eV/f.u. The total magnetization comes out at 0.0 μB per cell. The final energy comes out at -22.5 eV for the cell shown. The crystal system is tetragonal. As for the space group: P4/mmm, No. 123. The value obtained for the offset from the most stable computed form is 0 meV per atom.

```
SrLiY2Pd
1.0
5.454 0.000 0.000
0.000 5.454 0.000
0.000 0.000 5.370
Sr Li Y Pd
1 1 2 1
direct
0.000 0.000 0.000 Sr
0.500 0.500 0.000 Li
0.000 0.500 0.500 Y
0.500 0.000 0.500 Y
0.500 0.500 0.500 Pd
```

No. 5
Crystalline Sr2Li3Zn12Pd at its relaxed geometry, computed with PBE-GGA.

The value obtained for the density of states at the Fermi level is 7.34 states/eV/f.u. The total magnetization comes out at 0.0 μB per cell. The final energy comes out at -31.0 eV for the cell shown. The crystal system is trigonal. As for the space group: R-3m, No. 166.

```
Sr2Li3Zn12Pd
1.0
3.224 1.861 9.889
-3.224 1.861 9.889
0.000 -3.723 9.889
Sr Li Zn Pd
2 3 12 1
direct
0.149 0.149 0.149 Sr
0.851 0.851 0.851 Sr
0.000 0.500 0.500 Li
0.500 0.000 0.500 Li
0.500 0.500 0.000 Li
0.082 0.082 0.687 Zn
0.082 0.687 0.082 Zn
0.142 0.574 0.574 Zn
0.313 0.918 0.918 Zn
0.426 0.426 0.858 Zn
0.426 0.858 0.426 Zn
0.574 0.142 0.574 Zn
0.574 0.574 0.142 Zn
0.687 0.082 0.082 Zn
0.858 0.426 0.426 Zn
0.918 0.313 0.918 Zn
0.918 0.918 0.313 Zn
0.500 0.500 0.500 Pd
```

No. 6
Crystalline Sr2LiZn2Pd5 at its relaxed geometry, computed with PBE-GGA.

The value obtained for the density of states at the Fermi level is 3.07 states/eV/f.u. The total magnetization comes out at 0.0 μB per cell. The final energy comes out at -77.4 eV for the cell shown. The crystal system is tetragonal. As for the space group: P4/mbm, No. 127.

```
Sr2LiZn2Pd5
1.0
10.077 0.000 0.000
0.000 10.077 0.000
0.000 0.000 3.754
Sr Li Zn Pd
4 2 4 10
direct
0.178 0.322 0.000 Sr
0.322 0.822 0.000 Sr
0.678 0.178 0.000 Sr
0.822 0.678 0.000 Sr
0.000 0.000 0.000 Li
0.500 0.500 0.000 Li
0.122 0.622 0.000 Zn
0.378 0.122 0.000 Zn
0.622 0.878 0.000 Zn
0.878 0.378 0.000 Zn
0.000 0.500 0.500 Pd
0.062 0.796 0.500 Pd
0.204 0.062 0.500 Pd
0.296 0.562 0.500 Pd
0.438 0.296 0.500 Pd
0.500 0.000 0.500 Pd
0.562 0.704 0.500 Pd
0.704 0.438 0.500 Pd
0.796 0.938 0.500 Pd
0.938 0.204 0.500 Pd
```

No. 7
Crystalline SrLiZn2Pd at its relaxed geometry, computed with PBE-GGA.

The value obtained for the density of states at the Fermi level is 2.64 states/eV/f.u. The total magnetization comes out at 0.0 μB per cell. The final energy comes out at -12.7 eV for the cell shown. The crystal system is tetragonal. As for the space group: P4/mmm, No. 123. The value obtained for the offset from the most stable computed form is 95 meV per atom.

```
SrLiZn2Pd
1.0
4.921 0.000 0.000
0.000 4.921 0.000
0.000 0.000 4.779
Sr Li Zn Pd
1 1 2 1
direct
0.000 0.000 0.000 Sr
0.500 0.500 0.000 Li
0.000 0.500 0.500 Zn
0.500 0.000 0.500 Zn
0.500 0.500 0.500 Pd
```

No. 8
Crystalline SrLiZn3Pd at its relaxed geometry, computed with PBE-GGA.

The value obtained for the density of states at the Fermi level is 3.21 states/eV/f.u. The total magnetization comes out at 0.0 μB per cell. The final energy comes out at -28.2 eV for the cell shown. The crystal system is orthorhombic. As for the space group: Cmcm, No. 63.

```
SrLiZn3Pd
1.0
3.177 -6.374 0.000
3.177 6.374 0.000
0.000 0.000 5.802
Sr Li Zn Pd
2 2 6 2
direct
0.214 0.786 0.750 Sr
0.786 0.214 0.250 Sr
0.439 0.561 0.750 Li
0.561 0.439 0.250 Li
0.205 0.205 0.000 Zn
0.205 0.205 0.500 Zn
0.355 0.645 0.250 Zn
0.645 0.355 0.750 Zn
0.795 0.795 0.000 Zn
0.795 0.795 0.500 Zn
0.142 0.858 0.250 Pd
0.858 0.142 0.750 Pd
```

No. 9
Crystalline SrLiZn2Pd at its relaxed geometry, computed with PBE-GGA.

The value obtained for the density of states at the Fermi level is 2.39 states/eV/f.u. The total magnetization comes out at 0.0 μB per cell. The final energy comes out at -13.2 eV for the cell shown. The crystal system is orthorhombic. As for the space group: Imm2, No. 44. The value obtained for the offset from the most stable computed form is 0 meV per atom.

```
SrLiZn2Pd
1.0
-2.095 2.189 5.694
2.095 -2.189 5.694
2.095 2.189 -5.694
Sr Li Zn Pd
1 1 2 1
direct
0.000 0.000 0.000 Sr
0.235 0.735 0.500 Li
0.380 0.380 0.000 Zn
0.744 0.244 0.500 Zn
0.605 0.605 0.000 Pd
```

No. 10
Crystalline SrLiZn2Pd2 at its relaxed geometry, computed with PBE-GGA.

The value obtained for the density of states at the Fermi level is 2.68 states/eV/f.u. The total magnetization comes out at 0.0 μB per cell. The final energy comes out at -17.8 eV for the cell shown. The crystal system is tetragonal. As for the space group: P4/mmm, No. 123.

```
SrLiZn2Pd2
1.0
4.495 0.000 0.000
0.000 4.495 0.000
0.000 0.000 5.799
Sr Li Zn Pd
1 1 2 2
direct
0.000 0.000 0.000 Sr
0.000 0.000 0.500 Li
0.000 0.500 0.500 Zn
0.500 0.000 0.500 Zn
0.500 0.500 0.256 Pd
0.500 0.500 0.744 Pd
```

No. 11
Crystalline SrLi2Zn2Pd2 at its relaxed geometry, computed with PBE-GGA.

The value obtained for the density of states at the Fermi level is 2.58 states/eV/f.u. The total magnetization comes out at 0.0 μB per cell. The final energy comes out at -21.7 eV for the cell shown. The crystal system is trigonal. As for the space group: R-3m, No. 166.

```
SrLi2Zn2Pd2
1.0
2.198 1.269 8.036
-2.198 1.269 8.036
0.000 -2.538 8.036
Sr Li Zn Pd
1 2 2 2
direct
0.000 0.000 0.000 Sr
0.140 0.140 0.140 Li
0.860 0.860 0.860 Li
0.435 0.435 0.435 Zn
0.565 0.565 0.565 Zn
0.247 0.247 0.247 Pd
0.753 0.753 0.753 Pd
```

No. 12
Crystalline Sr2LiZn5Pd2 at its relaxed geometry, computed with PBE-GGA.

The value obtained for the density of states at the Fermi level is 5.85 states/eV/f.u. The total magnetization comes out at 0.0 μB per cell. The final energy comes out at -50.3 eV for the cell shown. The crystal system is tetragonal. As for the space group: P4/mbm, No. 127.

```
Sr2LiZn5Pd2
1.0
10.236 0.000 0.000
0.000 10.236 0.000
0.000 0.000 3.975
Sr Li Zn Pd
4 2 10 4
direct
0.181 0.319 0.000 Sr
0.319 0.819 0.000 Sr
0.681 0.181 0.000 Sr
0.819 0.681 0.000 Sr
0.000 0.000 0.000 Li
0.500 0.500 0.000 Li
0.000 0.500 0.500 Zn
0.057 0.794 0.500 Zn
0.206 0.057 0.500 Zn
0.294 0.557 0.500 Zn
0.443 0.294 0.500 Zn
0.500 0.000 0.500 Zn
0.557 0.706 0.500 Zn
0.706 0.443 0.500 Zn
0.794 0.943 0.500 Zn
0.943 0.206 0.500 Zn
0.115 0.615 0.000 Pd
0.385 0.115 0.000 Pd
0.615 0.885 0.000 Pd
0.885 0.385 0.000 Pd
```